The following is a DFT calculation (PBE with a Hubbard U) of a relaxed ScFeF2 crystal.

The structure in extended XYZ format:
```
4
Lattice="-0.106 -1.915 3.746 -2.179 -3.569 0.478 2.028 -3.645 0.558" Properties=species:S:1:pos:R:3 pbc="T T T"
Sc 0.000 0.000 0.000
Fe -0.128 -4.564 2.391
F -0.064 -2.282 1.196
F -0.192 -6.847 3.587
```

## Properties
SG = Fm-3m, No. 225
energy above the lowest structure with this stoichiometry = 322 meV per atom
total energy = -0.391 Ry per atom
mass density = 4.373 g/cm3